Model A:
Material: Rb2GaAg
Method: DFT, PBE
State: relaxed

Cell lengths 9.814, 9.814, 7.716 Å; angles 50.51, 50.51, 90.00 degrees
Positions (direct):
Ga  0.500  0.500  0.000
Ga  0.250  0.750  0.500
Rb  0.649  0.125  0.250
Rb  0.101  0.625  0.250
Rb  0.375  0.351  0.750
Rb  0.875  0.899  0.750
Ag  0.000  0.000  0.000
Ag  0.750  0.250  0.500

As for the crystal system: tetragonal. Its total magnetic moment is 0.0 Bohr magnetons per cell. The theoretical density comes out at 3.563 g/cm3. The value obtained for the density of states at the Fermi level is 0.534 states/eV/atom. Its space-group type is I-42d.



Model B:
Material: Rb2GaAg
Method: DFT, PBE
State: relaxed

Cell lengths 6.107, 6.107, 6.107 Å; angles 60.00, 60.00, 60.00 degrees
Site moments in Bohr magnetons follow the coordinates.
Positions (direct):
Ga  0.000  0.000  0.000  0.27
Rb  0.250  0.250  0.250  0.03
Rb  0.750  0.750  0.750  0.03
Ag  0.500  0.500  0.500  0.00

As for the crystal system: cubic. Its total magnetic moment is 1.2 Bohr magnetons per cell. The theoretical density comes out at 3.593 g/cm3. The value obtained for the density of states at the Fermi level is 0.989 states/eV/atom. Its space-group type is Fm-3m.



Which one sits at the bottom of the stability order? model A does.



Model A:
Material: RbZnGaAg2
Method: DFT, PBE
State: relaxed

Cell lengths 5.082, 6.430, 5.082 Å; angles 90.00, 90.00, 90.00 degrees
Positions (direct):
Zn  0.500  0.500  0.500
Ga  0.000  0.000  0.000
Rb  0.000  0.500  0.000
Ag  0.000  0.000  0.500
Ag  0.500  0.000  0.000

As for the crystal system: tetragonal. Its total magnetic moment is 0.0 Bohr magnetons per cell. The theoretical density comes out at 4.363 g/cm3. The value obtained for the density of states at the Fermi level is 0.608 states/eV/atom. Its space-group type is P4/mmm.



Model B:
Material: RbZnGaAg2
Method: DFT, PBE
State: relaxed

Cell lengths 5.205, 5.205, 4.872 Å; angles 90.00, 90.00, 90.00 degrees
Positions (direct):
Zn  0.000  0.000  0.500
Ga  0.000  0.000  0.000
Rb  0.500  0.500  0.500
Ag  0.000  0.500  0.000
Ag  0.500  0.000  0.000

As for the crystal system: tetragonal. Its total magnetic moment is 0.0 Bohr magnetons per cell. The theoretical density comes out at 5.489 g/cm3. The value obtained for the density of states at the Fermi level is 0.218 states/eV/atom. Its space-group type is P4/mmm.



Which one sits at the bottom of the stability order? model A does.